## SrTa2Co (PBE)

Data for a geometry-optimized SrTa2Co structure.

Structure (POSCAR):
```
SrTa2Co
1.0
0.000 3.386 3.386
3.386 0.000 3.386
3.386 3.386 0.000
Sr Ta Co
1 2 1
Direct
0.000 0.000 0.000
0.250 0.250 0.250
0.500 0.500 0.500
0.750 0.750 0.750
```

## Properties
Raw total energy: -28.55 eV per formula unit
M_tot: 0.03 μB per cell